[1]
CoRe2Si: optimized geometry, GGA-PBEsol.

Lattice parameters (Å, degrees): 2.730 4.391 4.673 109.15 106.99 90.00
Positions (direct):
1 Co 0.232 0.783 0.465
2 Re 0.983 0.944 0.966
3 Re 0.767 0.298 0.534
4 Si 0.517 0.475 0.035

Properties
**Energy relative to the elements, uncorrected**: -0.184 eV per atom
**N(E_F)**: 2.7 states/eV/f.u.
**E_tot**: -10.221 eV per atom
**Symmetry**: Cm (8)

[2]
Co3Ge2: optimized geometry, GGA-PBEsol.

Lattice parameters (Å, degrees): 3.866 3.866 4.793 90.00 90.00 120.00
Positions (direct):
1 Ge 0.000 0.000 0.000
2 Ge 0.667 0.333 0.500
3 Co 0.333 0.667 0.758
4 Co 0.333 0.667 0.242
5 Co 0.000 0.000 0.500

Properties
**ΔH_f (0 K)**: -15.9 kJ per mole of atoms
**N(E_F)**: 4.8 states/eV/f.u.
**E_tot**: -6.783 eV per atom
**Symmetry**: P-6m2 (187)

[3]
Sc2GaPAu: optimized geometry, GGA-PBEsol.

Lattice parameters (Å, degrees): 4.575 5.110 5.110 90.00 90.00 90.00
Positions (direct):
1 Sc 0.000 0.000 0.500
2 Sc 0.000 0.500 0.000
3 P 0.500 0.500 0.500
4 Au 0.000 0.000 0.000
5 Ga 0.500 0.000 0.000

Properties
**ΔH_f (0 K)**: 3.3 kJ per mole of atoms
**N(E_F)**: 2.7 states/eV/f.u.
**E_tot**: -5.219 eV per atom
**Symmetry**: P4/mmm (123)

[4]
Na2ZrPt: optimized geometry, GGA-PBEsol.

Lattice parameters (Å, degrees): 4.736 4.736 4.736 60.00 60.00 60.00
Positions (direct):
1 Na 0.250 0.250 0.250
2 Na 0.750 0.750 0.750
3 Zr 0.000 0.000 0.000
4 Pt 0.500 0.500 0.500

Properties
**ΔH_f (0 K)**: 56.5 kJ per mole of atoms
**N(E_F)**: 3.7 states/eV/f.u.
**E_tot**: -4.128 eV per atom
**Symmetry**: Fm-3m (225)

Q: Among the records above, which one has the lowest E_tot?
A: CoRe2Si